# CaCeEr2 (GGA-PBE, optimized geometry)
data_CaCeEr2
_chemical_formula_sum 'Ca1 Ce1 Er2'
_space_group_name_H-M_alt 'P 1'
_space_group_IT_number 1
_cell_length_a 3.4919
_cell_length_b 3.4919
_cell_length_c 12.4445
_cell_angle_alpha 81.93
_cell_angle_beta 81.93
_cell_angle_gamma 60.00
loop_
_space_group_symop_operation_xyz
'x,y,z'
loop_
_atom_site_label
_atom_site_type_symbol
_atom_site_fract_x
_atom_site_fract_y
_atom_site_fract_z
Ce1 Ce 0.5000 0.5000 0.5000
Ca1 Ca 0.0000 0.0000 0.0000
Er1 Er 0.9084 0.9084 0.2748
Er2 Er 0.0916 0.0916 0.7252
# ΔH_f (0 K) = 0.1894 eV per atom
# energy = -16.3 eV/cell
# calculated volume = 129.7 Å³/cell
# DOS(E_F) = 1.772 states/eV/atom
# mass density = 6.59 g cm⁻³

# CaCeEr2 (GGA-PBE, optimized geometry)
data_CaCeEr2
_chemical_formula_sum 'Ca1 Ce1 Er2'
_space_group_name_H-M_alt 'P 1'
_space_group_IT_number 1
_cell_length_a 5.0339
_cell_length_b 5.0982
_cell_length_c 5.0982
_cell_angle_alpha 90.00
_cell_angle_beta 90.00
_cell_angle_gamma 90.00
loop_
_space_group_symop_operation_xyz
'x,y,z'
loop_
_atom_site_label
_atom_site_type_symbol
_atom_site_fract_x
_atom_site_fract_y
_atom_site_fract_z
Er1 Er 0.0000 0.0000 0.5000
Ce1 Ce 0.5000 0.5000 0.5000
Er2 Er 0.0000 0.5000 0.0000
Ca1 Ca 0.5000 0.0000 0.0000
# ΔH_f (0 K) = 0.2057 eV per atom
# energy = -16.2 eV/cell
# calculated volume = 130.8 Å³/cell
# DOS(E_F) = 2.006 states/eV/atom
# mass density = 6.53 g cm⁻³

# CaCe2Er (GGA-PBE, optimized geometry)
data_CaCe2Er
_chemical_formula_sum 'Ca1 Ce2 Er1'
_space_group_name_H-M_alt 'P 1'
_space_group_IT_number 1
_cell_length_a 3.4199
_cell_length_b 3.4199
_cell_length_c 12.7686
_cell_angle_alpha 82.30
_cell_angle_beta 82.30
_cell_angle_gamma 60.00
loop_
_space_group_symop_operation_xyz
'x,y,z'
loop_
_atom_site_label
_atom_site_type_symbol
_atom_site_fract_x
_atom_site_fract_y
_atom_site_fract_z
Ce1 Ce 0.0896 0.0896 0.7312
Er1 Er 0.5000 0.5000 0.5000
Ca1 Ca 0.0000 0.0000 0.0000
Ce2 Ce 0.9104 0.9104 0.2688
# ΔH_f (0 K) = 0.2449 eV per atom
# energy = -17.5 eV/cell
# calculated volume = 127.8 Å³/cell
# DOS(E_F) = 2.971 states/eV/atom
# mass density = 6.34 g cm⁻³

# CaCeEr2Hg4 (GGA-PBE, optimized geometry)
data_CaCeEr2Hg4
_chemical_formula_sum 'Ca1 Ce1 Er2 Hg4'
_space_group_name_H-M_alt 'P 1'
_space_group_IT_number 1
_cell_length_a 5.2921
_cell_length_b 5.2921
_cell_length_c 9.2270
_cell_angle_alpha 73.34
_cell_angle_beta 73.34
_cell_angle_gamma 60.00
loop_
_space_group_symop_operation_xyz
'x,y,z'
loop_
_atom_site_label
_atom_site_type_symbol
_atom_site_fract_x
_atom_site_fract_y
_atom_site_fract_z
Hg1 Hg 0.6250 0.6250 0.1250
Er1 Er 0.2516 0.2516 0.2453
Er2 Er 0.7484 0.7484 0.7547
Hg2 Hg 0.8763 0.8763 0.3711
Ca1 Ca 0.0000 0.0000 0.0000
Ce1 Ce 0.5000 0.5000 0.5000
Hg3 Hg 0.3750 0.3750 0.8750
Hg4 Hg 0.1237 0.1237 0.6289
# ΔH_f (0 K) = -0.4433 eV per atom
# energy = -21.8 eV/cell
# calculated volume = 211.2 Å³/cell
# DOS(E_F) = 1.474 states/eV/atom
# mass density = 10.36 g cm⁻³

# CaCeEr2In4 (GGA-PBE, optimized geometry)
data_CaCeEr2In4
_chemical_formula_sum 'Ca1 Ce1 Er2 In4'
_space_group_name_H-M_alt 'P 1'
_space_group_IT_number 1
_cell_length_a 5.3492
_cell_length_b 5.3492
_cell_length_c 9.3688
_cell_angle_alpha 73.41
_cell_angle_beta 73.41
_cell_angle_gamma 60.00
loop_
_space_group_symop_operation_xyz
'x,y,z'
loop_
_atom_site_label
_atom_site_type_symbol
_atom_site_fract_x
_atom_site_fract_y
_atom_site_fract_z
Ca1 Ca 0.0000 0.0000 0.0000
Er1 Er 0.2515 0.2515 0.2456
In1 In 0.3746 0.3746 0.8763
Ce1 Ce 0.5000 0.5000 0.5000
Er2 Er 0.7485 0.7485 0.7544
In2 In 0.6254 0.6254 0.1237
In3 In 0.1246 0.1246 0.6263
In4 In 0.8754 0.8754 0.3737
# ΔH_f (0 K) = -0.4147 eV per atom
# energy = -31.3 eV/cell
# calculated volume = 219.2 Å³/cell
# DOS(E_F) = 1.156 states/eV/atom
# mass density = 7.38 g cm⁻³

# CaCeErIn (GGA-PBE, optimized geometry)
data_CaCeErIn
_chemical_formula_sum 'Ca1 Ce1 Er1 In1'
_space_group_name_H-M_alt 'P 1'
_space_group_IT_number 1
_cell_length_a 5.5013
_cell_length_b 5.5013
_cell_length_c 5.5013
_cell_angle_alpha 60.00
_cell_angle_beta 60.00
_cell_angle_gamma 60.00
loop_
_space_group_symop_operation_xyz
'x,y,z'
loop_
_atom_site_label
_atom_site_type_symbol
_atom_site_fract_x
_atom_site_fract_y
_atom_site_fract_z
Er1 Er 0.0000 0.0000 0.0000
Ce1 Ce 0.2500 0.2500 0.2500
Ca1 Ca 0.5000 0.5000 0.5000
In1 In 0.7500 0.7500 0.7500
# ΔH_f (0 K) = 0.0163 eV per atom
# energy = -15.2 eV/cell
# calculated volume = 117.7 Å³/cell
# DOS(E_F) = 1.674 states/eV/atom
# mass density = 6.52 g cm⁻³

# CaLaCeEr (GGA-PBE, optimized geometry)
data_CaLaCeEr
_chemical_formula_sum 'Ca1 La1 Ce1 Er1'
_space_group_name_H-M_alt 'P 1'
_space_group_IT_number 1
_cell_length_a 5.8362
_cell_length_b 5.8362
_cell_length_c 5.8362
_cell_angle_alpha 60.00
_cell_angle_beta 60.00
_cell_angle_gamma 60.00
loop_
_space_group_symop_operation_xyz
'x,y,z'
loop_
_atom_site_label
_atom_site_type_symbol
_atom_site_fract_x
_atom_site_fract_y
_atom_site_fract_z
Ca1 Ca 0.2500 0.2500 0.2500
La1 La 0.5000 0.5000 0.5000
Er1 Er 0.0000 0.0000 0.0000
Ce1 Ce 0.7500 0.7500 0.7500
# ΔH_f (0 K) = 0.2465 eV per atom
# energy = -16.4 eV/cell
# calculated volume = 140.6 Å³/cell
# DOS(E_F) = 2.801 states/eV/atom
# mass density = 5.75 g cm⁻³

# CaCeErMg (GGA-PBE, optimized geometry)
data_CaCeErMg
_chemical_formula_sum 'Ca1 Ce1 Er1 Mg1'
_space_group_name_H-M_alt 'P 1'
_space_group_IT_number 1
_cell_length_a 5.6071
_cell_length_b 5.6071
_cell_length_c 5.6071
_cell_angle_alpha 60.00
_cell_angle_beta 60.00
_cell_angle_gamma 60.00
loop_
_space_group_symop_operation_xyz
'x,y,z'
loop_
_atom_site_label
_atom_site_type_symbol
_atom_site_fract_x
_atom_site_fract_y
_atom_site_fract_z
Er1 Er 0.2500 0.2500 0.2500
Mg1 Mg 0.7500 0.7500 0.7500
Ce1 Ce 0.5000 0.5000 0.5000
Ca1 Ca 0.0000 0.0000 0.0000
# ΔH_f (0 K) = 0.1759 eV per atom
# energy = -13.4 eV/cell
# calculated volume = 124.7 Å³/cell
# DOS(E_F) = 2.341 states/eV/atom
# mass density = 4.95 g cm⁻³

# Ca3Ce2ErN6 (GGA-PBE, optimized geometry)
data_Ca3Ce2ErN6
_chemical_formula_sum 'Ca3 Ce2 Er1 N6'
_space_group_name_H-M_alt 'P 1'
_space_group_IT_number 1
_cell_length_a 6.1171
_cell_length_b 6.1171
_cell_length_c 6.0857
_cell_angle_alpha 99.59
_cell_angle_beta 99.59
_cell_angle_gamma 120.06
loop_
_space_group_symop_operation_xyz
'x,y,z'
loop_
_atom_site_label
_atom_site_type_symbol
_atom_site_fract_x
_atom_site_fract_y
_atom_site_fract_z
N1 N 0.7389 0.7389 0.2234
Ca1 Ca 0.1648 0.8352 0.5000
N2 N 0.2611 0.2611 0.7766
Ca2 Ca 0.8352 0.1648 0.5000
Ce1 Ce 0.6667 0.3333 0.0000
N3 N 0.4103 0.0749 0.2233
N4 N 0.9251 0.5897 0.7767
Ce2 Ce 0.3333 0.6667 0.0000
Er1 Er 0.0000 0.0000 0.0000
N5 N 0.0749 0.4103 0.2233
N6 N 0.5897 0.9251 0.7767
Ca3 Ca 0.5000 0.5000 0.5000
# energy = -87.3 eV/cell
# calculated volume = 185.8 Å³/cell
# formation energy from raw total energies = -1.243 eV/atom
# DOS(E_F) = 1.055 states/eV/atom
# mass density = 5.82 g cm⁻³

# CaCe2ErN4 (GGA-PBE, optimized geometry)
data_CaCe2ErN4
_chemical_formula_sum 'Ca1 Ce2 Er1 N4'
_space_group_name_H-M_alt 'P 1'
_space_group_IT_number 1
_cell_length_a 3.5393
_cell_length_b 6.0615
_cell_length_c 6.1417
_cell_angle_alpha 70.45
_cell_angle_beta 90.00
_cell_angle_gamma 90.00
loop_
_space_group_symop_operation_xyz
'x,y,z'
loop_
_atom_site_label
_atom_site_type_symbol
_atom_site_fract_x
_atom_site_fract_y
_atom_site_fract_z
N1 N 0.0000 0.2338 0.2654
N2 N 0.5000 0.7519 0.2587
N3 N 0.0000 0.7662 0.7346
Ce1 Ce 0.0000 0.0000 0.0000
Ce2 Ce 0.5000 0.0000 0.5000
N4 N 0.5000 0.2481 0.7413
Er1 Er 0.0000 0.5000 0.5000
Ca1 Ca 0.5000 0.5000 0.0000
# energy = -63.3 eV/cell
# calculated volume = 124.2 Å³/cell
# formation energy from raw total energies = -1.449 eV/atom
# DOS(E_F) = 0.581 states/eV/atom
# mass density = 7.27 g cm⁻³

# Ca2CeErO6 (GGA-PBE, optimized geometry)
data_Ca2CeErO6
_chemical_formula_sum 'Ca4 Ce2 Er2 O12'
_space_group_name_H-M_alt 'P 1'
_space_group_IT_number 1
_cell_length_a 5.7990
_cell_length_b 6.0154
_cell_length_c 8.4375
_cell_angle_alpha 90.00
_cell_angle_beta 90.14
_cell_angle_gamma 90.00
loop_
_space_group_symop_operation_xyz
'x,y,z'
loop_
_atom_site_label
_atom_site_type_symbol
_atom_site_fract_x
_atom_site_fract_y
_atom_site_fract_z
O1 O 0.3635 0.9314 0.7487
O2 O 0.8004 0.7989 0.9245
Ca1 Ca 0.5229 0.5536 0.7513
Er1 Er 0.5000 0.0000 0.5000
O3 O 0.6365 0.0686 0.2513
O4 O 0.1996 0.2011 0.0755
O5 O 0.6964 0.2980 0.9273
O6 O 0.8635 0.5686 0.2487
Ca2 Ca 0.4771 0.4464 0.2487
O7 O 0.3004 0.7011 0.4245
O8 O 0.6996 0.2989 0.5755
Ca3 Ca 0.0229 0.9464 0.2513
Ce1 Ce 0.0000 0.5000 0.5000
Ce2 Ce 0.5000 0.0000 0.0000
O9 O 0.1964 0.2020 0.4273
O10 O 0.1365 0.4314 0.7513
O11 O 0.8036 0.7980 0.5727
O12 O 0.3036 0.7020 0.0727
Er2 Er 0.0000 0.5000 0.0000
Ca4 Ca 0.9771 0.0536 0.7487
# energy = -148.5 eV/cell
# calculated volume = 294.3 Å³/cell
# formation energy from raw total energies = -3.000 eV/atom
# DOS(E_F) = 0.840 states/eV/atom
# mass density = 5.46 g cm⁻³

# CaCeEr2P4 (GGA-PBE, optimized geometry)
data_CaCeEr2P4
_chemical_formula_sum 'Ca1 Ce1 Er2 P4'
_space_group_name_H-M_alt 'P 1'
_space_group_IT_number 1
_cell_length_a 4.0444
_cell_length_b 6.9506
_cell_length_c 6.9925
_cell_angle_alpha 109.01
_cell_angle_beta 90.00
_cell_angle_gamma 90.00
loop_
_space_group_symop_operation_xyz
'x,y,z'
loop_
_atom_site_label
_atom_site_type_symbol
_atom_site_fract_x
_atom_site_fract_y
_atom_site_fract_z
Ca1 Ca 0.5000 0.5000 0.0000
P1 P 0.0000 0.2396 0.7426
P2 P 0.5000 0.2477 0.2557
Er1 Er 0.0000 0.5000 0.5000
P3 P 0.0000 0.7604 0.2574
Ce1 Ce 0.0000 0.0000 0.0000
Er2 Er 0.5000 0.0000 0.5000
P4 P 0.5000 0.7523 0.7443
# ΔH_f (0 K) = -1.4418 eV per atom
# energy = -50.2 eV/cell
# calculated volume = 185.8 Å³/cell
# DOS(E_F) = 0.040 states/eV/atom
# mass density = 5.71 g cm⁻³

# Ca2CeErP4 (GGA-PBE, optimized geometry)
data_Ca2CeErP4
_chemical_formula_sum 'Ca2 Ce1 Er1 P4'
_space_group_name_H-M_alt 'P 1'
_space_group_IT_number 1
_cell_length_a 4.1006
_cell_length_b 7.0662
_cell_length_c 7.0664
_cell_angle_alpha 109.65
_cell_angle_beta 90.00
_cell_angle_gamma 90.00
loop_
_space_group_symop_operation_xyz
'x,y,z'
loop_
_atom_site_label
_atom_site_type_symbol
_atom_site_fract_x
_atom_site_fract_y
_atom_site_fract_z
Ca1 Ca 0.5000 0.0000 0.5000
Ca2 Ca 0.0000 0.5000 0.5000
P1 P 0.0000 0.7432 0.2333
Er1 Er 0.5000 0.5000 0.0000
P2 P 0.0000 0.2568 0.7667
P3 P 0.5000 0.7545 0.7669
Ce1 Ce 0.0000 0.0000 0.0000
P4 P 0.5000 0.2455 0.2331
# ΔH_f (0 K) = -1.2474 eV per atom
# energy = -46.1 eV/cell
# calculated volume = 192.8 Å³/cell
# DOS(E_F) = 1.000 states/eV/atom
# mass density = 4.40 g cm⁻³